1.
Below is crystalline SiSbPt2 at its relaxed geometry, with properties calculated at the PBE level.

Output
polymorph energy (0 for the lowest one) = 0.500 eV per atom
formation energy from raw total energies = -0.036 eV/atom
density of states at the Fermi level = 2.32 states/eV/f.u.
electronic total energy = -5.443 eV per atom

Cell lengths 4.6372, 4.6372, 4.6372 Å; angles 60.00, 60.00, 60.00 degrees
Positions (direct):
Si (0.0000, 0.0000, 0.0000)
Sb (0.5000, 0.5000, 0.5000)
Pt (0.2500, 0.2500, 0.2500)
Pt (0.7500, 0.7500, 0.7500)

=====

2.
Below is crystalline Si2SbPt at its relaxed geometry, with properties calculated at the PBE level.

Output
formation energy from raw total energies = -0.069 eV/atom
density of states at the Fermi level = 1.63 states/eV/f.u.
electronic total energy = -5.321 eV per atom

Cell lengths 4.2600, 4.4501, 4.4501 Å; angles 69.06, 90.00, 90.00 degrees
Positions (direct):
Si (0.0000, 0.0000, 0.0000)
Si (0.5000, 0.2006, 0.2006)
Sb (0.5000, 0.5970, 0.5970)
Pt (0.0000, 0.3736, 0.3736)

=====

3.
Below is crystalline SiSbPt2 at its relaxed geometry, with properties calculated at the PBE level.

Output
polymorph energy (0 for the lowest one) = 0.280 eV per atom
formation energy from raw total energies = -0.256 eV/atom
density of states at the Fermi level = 1.74 states/eV/f.u.
electronic total energy = -5.663 eV per atom

Cell lengths 7.2522, 7.2522, 7.2522 Å; angles 28.92, 28.92, 28.92 degrees
Positions (direct):
Si (0.0000, 0.0000, 0.0000)
Sb (0.7797, 0.7797, 0.7797)
Pt (0.2818, 0.2818, 0.2818)
Pt (0.5229, 0.5229, 0.5229)